Entry 1:
# NdIn2Ni meta-GGA SCAN single point on PBEsol structure
data_NdIn2Ni
_space_group_name_H-M_alt 'P 1'
_space_group_IT_number 1
_cell_length_a 4.3565
_cell_length_b 5.7002
_cell_length_c 7.3221
_cell_angle_alpha 90.00
_cell_angle_beta 90.00
_cell_angle_gamma 112.47
loop_
_space_group_symop_operation_xyz
'x,y,z'
loop_
_atom_site_label
_atom_site_type_symbol
_atom_site_fract_x
_atom_site_fract_y
_atom_site_fract_z
Ni1 Ni 0.7867 0.5733 0.2500
Ni2 Ni 0.2133 0.4267 0.7500
Nd1 Nd 0.0669 0.1338 0.2500
Nd2 Nd 0.9331 0.8662 0.7500
In1 In 0.3540 0.7080 0.0505
In2 In 0.6460 0.2920 0.9495
In3 In 0.6460 0.2920 0.5505
In4 In 0.3540 0.7080 0.4495
# Energy of formation: -0.532 eV/atom
# E_tot: -257.3 eV for the cell shown
# M_tot: 0.00 μB per formula unit
# D(E_F): 0.683 states/eV/atom

Entry 2:
# Nd12InNi6 meta-GGA SCAN single point on PBEsol structure
data_Nd12InNi6
_space_group_name_H-M_alt 'P 1'
_space_group_IT_number 1
_cell_length_a 8.5440
_cell_length_b 8.5440
_cell_length_c 8.5440
_cell_angle_alpha 109.47
_cell_angle_beta 109.47
_cell_angle_gamma 109.47
loop_
_space_group_symop_operation_xyz
'x,y,z'
loop_
_atom_site_label
_atom_site_type_symbol
_atom_site_fract_x
_atom_site_fract_y
_atom_site_fract_z
Nd1 Nd 0.1859 0.6944 0.8804
Nd2 Nd 0.8141 0.3056 0.1196
Nd3 Nd 0.8141 0.6944 0.5085
Nd4 Nd 0.1859 0.3056 0.4915
Nd5 Nd 0.3056 0.1196 0.8141
Nd6 Nd 0.6944 0.8804 0.1859
Nd7 Nd 0.3056 0.4915 0.1859
Nd8 Nd 0.6944 0.5085 0.8141
Nd9 Nd 0.4915 0.1859 0.3056
Nd10 Nd 0.5085 0.8141 0.6944
Nd11 Nd 0.8804 0.1859 0.6944
Nd12 Nd 0.1196 0.8141 0.3056
In1 In 0.0000 0.0000 0.0000
Ni1 Ni 0.1218 0.6218 0.5000
Ni2 Ni 0.8782 0.3782 0.5000
Ni3 Ni 0.6218 0.5000 0.1218
Ni4 Ni 0.3782 0.5000 0.8782
Ni5 Ni 0.5000 0.8782 0.3782
Ni6 Ni 0.5000 0.1218 0.6218
# Energy of formation: -0.304 eV/atom
# E_tot: -659.2 eV for the cell shown
# M_tot: 0.00 μB per formula unit
# D(E_F): 0.734 states/eV/atom

Entry 3:
# NdIn2Pd meta-GGA SCAN single point on PBEsol structure
data_NdIn2Pd
_space_group_name_H-M_alt 'P 1'
_space_group_IT_number 1
_cell_length_a 9.1517
_cell_length_b 10.8299
_cell_length_c 10.8299
_cell_angle_alpha 79.72
_cell_angle_beta 65.01
_cell_angle_gamma 65.01
loop_
_space_group_symop_operation_xyz
'x,y,z'
loop_
_atom_site_label
_atom_site_type_symbol
_atom_site_fract_x
_atom_site_fract_y
_atom_site_fract_z
Nd1 Nd 0.1075 0.2807 0.2807
Nd2 Nd 0.6689 0.7193 0.7193
Nd3 Nd 0.3882 0.2807 0.7193
Nd4 Nd 0.3882 0.7193 0.2807
Nd5 Nd 0.0771 0.5947 0.0000
Nd6 Nd 0.6718 0.4053 0.0000
Nd7 Nd 0.6718 0.0000 0.4053
Nd8 Nd 0.0771 0.0000 0.5947
Nd9 Nd 0.4646 0.0000 0.0000
Nd10 Nd 0.9949 0.0000 0.0000
In1 In 0.9839 0.4930 0.7896
In2 In 0.2666 0.5070 0.2104
In3 In 0.4769 0.7896 0.5070
In4 In 0.9839 0.7896 0.4930
In5 In 0.7736 0.2104 0.4930
In6 In 0.2666 0.2104 0.5070
In7 In 0.4769 0.5070 0.7896
In8 In 0.7736 0.4930 0.2104
In9 In 0.4817 0.3828 0.3828
In10 In 0.2473 0.6172 0.6172
In11 In 0.8645 0.3828 0.6172
In12 In 0.8645 0.6172 0.3828
In13 In 0.0890 0.2654 0.0000
In14 In 0.3543 0.7346 0.0000
In15 In 0.3543 0.0000 0.7346
In16 In 0.0890 0.0000 0.2654
In17 In 0.5557 0.1645 0.1645
In18 In 0.8846 0.8355 0.8355
In19 In 0.7201 0.1645 0.8355
In20 In 0.7201 0.8355 0.1645
Pd1 Pd 0.1169 0.5000 0.5000
Pd2 Pd 0.6169 0.5000 0.5000
Pd3 Pd 0.6962 0.6798 0.0000
Pd4 Pd 0.3759 0.3202 0.0000
Pd5 Pd 0.3759 0.0000 0.3202
Pd6 Pd 0.6962 0.0000 0.6798
Pd7 Pd 0.8118 0.2177 0.2177
Pd8 Pd 0.2472 0.7823 0.7823
Pd9 Pd 0.0295 0.2177 0.7823
Pd10 Pd 0.0295 0.7823 0.2177
# Energy of formation: -0.777 eV/atom
# E_tot: -1462.4 eV for the cell shown
# M_tot: 0.00 μB per formula unit
# D(E_F): 0.455 states/eV/atom

Entry 4:
# NdInPd meta-GGA SCAN single point on PBEsol structure
data_NdInPd
_space_group_name_H-M_alt 'P 1'
_space_group_IT_number 1
_cell_length_a 3.9518
_cell_length_b 7.6652
_cell_length_c 7.6652
_cell_angle_alpha 120.00
_cell_angle_beta 90.00
_cell_angle_gamma 90.00
loop_
_space_group_symop_operation_xyz
'x,y,z'
loop_
_atom_site_label
_atom_site_type_symbol
_atom_site_fract_x
_atom_site_fract_y
_atom_site_fract_z
Nd1 Nd 0.0000 0.0000 0.5888
Nd2 Nd 0.0000 0.5888 0.0000
Nd3 Nd 0.0000 0.4112 0.4112
In1 In 0.5000 0.2534 0.0000
In2 In 0.5000 0.0000 0.2534
In3 In 0.5000 0.7466 0.7466
Pd1 Pd 0.5000 0.6667 0.3333
Pd2 Pd 0.0000 0.0000 0.0000
Pd3 Pd 0.5000 0.3333 0.6667
# Energy of formation: -0.910 eV/atom
# E_tot: -337.4 eV for the cell shown
# M_tot: 0.00 μB per formula unit
# D(E_F): 0.773 states/eV/atom

Entry 5:
# PmNdIn2 meta-GGA SCAN single point on PBEsol structure
data_PmNdIn2
_space_group_name_H-M_alt 'P 1'
_space_group_IT_number 1
_cell_length_a 5.3640
_cell_length_b 5.3640
_cell_length_c 5.3640
_cell_angle_alpha 60.00
_cell_angle_beta 60.00
_cell_angle_gamma 60.00
loop_
_space_group_symop_operation_xyz
'x,y,z'
loop_
_atom_site_label
_atom_site_type_symbol
_atom_site_fract_x
_atom_site_fract_y
_atom_site_fract_z
Pm1 Pm 0.5000 0.5000 0.5000
Nd1 Nd 0.0000 0.0000 0.0000
In1 In 0.2500 0.2500 0.2500
In2 In 0.7500 0.7500 0.7500
# Energy of formation: -0.659 eV/atom
# E_tot: -157.0 eV for the cell shown
# M_tot: 0.00 μB per formula unit
# D(E_F): 0.395 states/eV/atom

Entry 6:
# PrNdIn2 meta-GGA SCAN single point on PBEsol structure
data_PrNdIn2
_space_group_name_H-M_alt 'P 1'
_space_group_IT_number 1
_cell_length_a 5.4036
_cell_length_b 5.4036
_cell_length_c 5.4036
_cell_angle_alpha 60.00
_cell_angle_beta 60.00
_cell_angle_gamma 60.00
loop_
_space_group_symop_operation_xyz
'x,y,z'
loop_
_atom_site_label
_atom_site_type_symbol
_atom_site_fract_x
_atom_site_fract_y
_atom_site_fract_z
Pr1 Pr 0.0000 0.0000 0.0000
Nd1 Nd 0.5000 0.5000 0.5000
In1 In 0.7500 0.7500 0.7500
In2 In 0.2500 0.2500 0.2500
# Energy of formation: -0.657 eV/atom
# E_tot: -156.3 eV for the cell shown
# M_tot: 0.00 μB per formula unit
# D(E_F): 0.400 states/eV/atom